DFT (PBE-GGA) results for Ba3Zn2Cd2Sn4 after structural relaxation.

abc: 4.7564 4.7564 18.3149
angles: 90.00 90.00 120.00
Element x y z (fractional)
Ba 0.0000 0.0000 0.0000
Ba 0.0000 0.0000 0.2703
Ba 0.0000 0.0000 0.7297
Zn 0.3333 0.6667 0.1393
Zn 0.6667 0.3333 0.8607
Cd 0.3333 0.6667 0.5523
Cd 0.6667 0.3333 0.4477
Sn 0.3333 0.6667 0.3914
Sn 0.3333 0.6667 0.8666
Sn 0.6667 0.3333 0.1334
Sn 0.6667 0.3333 0.6086

Space-group type ... No. 164
Total magnetic moment ... 0.00 μB per formula unit
Formation energy from the elements ... -4.36 eV/f.u.